No. 1
## Na3Pu2SbTe6 (PBE-GGA)

Data for a relaxed Na3Pu2SbTe6 crystal.

Summary:
SG	C2/m (12)
formation energy without anion corrections	-964	kJ/mol of formula units
DOS(E_F)	25.0	states/eV/cell

Structure (CIF):
```
data_Na3Pu2SbTe6
_cell_length_a 7.782
_cell_length_b 7.782
_cell_length_c 7.920
_cell_angle_alpha 99.39
_cell_angle_beta 99.39
_cell_angle_gamma 119.98
_space_group_name_H-M_alt 'P 1'
_space_group_IT_number 1
loop_
_space_group_symop_operation_xyz
'x,y,z'
loop_
_atom_site_label
_atom_site_fract_x
_atom_site_fract_y
_atom_site_fract_z
_atom_site_occupancy
Na1 0.163 0.837 0.500 1
Na2 0.837 0.163 0.500 1
Na3 0.500 0.500 0.500 1
Pu1 0.333 0.667 0.000 1
Pu2 0.667 0.333 0.000 1
Sb1 0.000 0.000 0.000 1
Te1 0.922 0.592 0.767 1
Te2 0.746 0.746 0.231 1
Te3 0.078 0.408 0.233 1
Te4 0.592 0.922 0.767 1
Te5 0.254 0.254 0.769 1
Te6 0.408 0.078 0.233 1
```



No. 2
## TbNd2Dy2Cd (PBE-GGA)

Data for a relaxed TbNd2Dy2Cd crystal.

Summary:
SG	Pnnm (58)
formation energy	5.2	kJ/mol of atoms
DOS(E_F)	17.1	states/eV/cell

Structure (CIF):
```
data_TbNd2Dy2Cd
_cell_length_a 5.679
_cell_length_b 10.081
_cell_length_c 6.575
_cell_angle_alpha 90.00
_cell_angle_beta 90.00
_cell_angle_gamma 90.00
_space_group_name_H-M_alt 'P 1'
_space_group_IT_number 1
loop_
_space_group_symop_operation_xyz
'x,y,z'
loop_
_atom_site_label
_atom_site_fract_x
_atom_site_fract_y
_atom_site_fract_z
_atom_site_occupancy
Tb1 0.500 0.500 0.000 1
Tb2 0.000 0.000 0.500 1
Nd1 0.500 0.133 0.197 1
Nd2 0.000 0.633 0.303 1
Nd3 0.500 0.867 0.803 1
Nd4 0.000 0.367 0.697 1
Dy1 0.500 0.798 0.302 1
Dy2 0.500 0.202 0.698 1
Dy3 0.000 0.702 0.802 1
Dy4 0.000 0.298 0.198 1
Cd1 0.000 0.000 0.000 1
Cd2 0.500 0.500 0.500 1
```



No. 3
## NaCaTlSb (PBE-GGA)

Data for a relaxed NaCaTlSb crystal.

Summary:
SG	F-43m (216)
formation energy without anion corrections	-170	kJ/mol of formula units
DOS(E_F)	3.6	states/eV/cell

Structure (CIF):
```
data_NaCaTlSb
_cell_length_a 5.457
_cell_length_b 5.457
_cell_length_c 5.457
_cell_angle_alpha 60.00
_cell_angle_beta 60.00
_cell_angle_gamma 60.00
_space_group_name_H-M_alt 'P 1'
_space_group_IT_number 1
loop_
_space_group_symop_operation_xyz
'x,y,z'
loop_
_atom_site_label
_atom_site_fract_x
_atom_site_fract_y
_atom_site_fract_z
_atom_site_occupancy
Sb1 0.500 0.500 0.500 1
Tl1 0.000 0.000 0.000 1
Ca1 0.750 0.750 0.750 1
Na1 0.250 0.250 0.250 1
```



No. 4
## Li2Ca2Ag (PBE-GGA)

Data for a relaxed Li2Ca2Ag crystal.

Summary:
SG	Immm (71)
ΔE to the lowest computed polymorph	0.00	kcal/mol of atoms
formation energy	-9.7	kJ/mol of atoms
DOS(E_F)	3.4	states/eV/cell

Structure (CIF):
```
data_Li2Ca2Ag
_cell_length_a 5.467
_cell_length_b 4.833
_cell_length_c 6.144
_cell_angle_alpha 66.84
_cell_angle_beta 63.59
_cell_angle_gamma 90.00
_space_group_name_H-M_alt 'P 1'
_space_group_IT_number 1
loop_
_space_group_symop_operation_xyz
'x,y,z'
loop_
_atom_site_label
_atom_site_fract_x
_atom_site_fract_y
_atom_site_fract_z
_atom_site_occupancy
Li1 0.247 0.500 0.000 1
Li2 0.753 0.500 0.000 1
Ca1 0.693 0.193 0.614 1
Ca2 0.307 0.807 0.386 1
Ag1 0.000 0.000 0.000 1
```



No. 5
## Sc4BiSb2As (PBE-GGA)

Data for a relaxed Sc4BiSb2As crystal.

Summary:
SG	P2/m (10)
formation energy without anion corrections	-732	kJ/mol of formula units
DOS(E_F)	1.6	states/eV/cell

Structure (CIF):
```
data_Sc4BiSb2As
_cell_length_a 4.097
_cell_length_b 7.130
_cell_length_c 7.171
_cell_angle_alpha 70.80
_cell_angle_beta 90.00
_cell_angle_gamma 90.00
_space_group_name_H-M_alt 'P 1'
_space_group_IT_number 1
loop_
_space_group_symop_operation_xyz
'x,y,z'
loop_
_atom_site_label
_atom_site_fract_x
_atom_site_fract_y
_atom_site_fract_z
_atom_site_occupancy
Sc1 0.000 0.747 0.737 1
Sc2 0.000 0.253 0.263 1
Sc3 0.500 0.738 0.267 1
Sc4 0.500 0.262 0.733 1
Bi1 0.500 0.500 0.000 1
Sb1 0.000 0.000 0.000 1
Sb2 0.500 0.000 0.500 1
As1 0.000 0.500 0.500 1
```



No. 6
## Ba2HgHF6 (PBE-GGA)

Data for a relaxed Ba2HgHF6 crystal.

Summary:
total energy	-4.63	eV per atom
SG	P-1 (2)
DOS(E_F)	3.6	states/eV/cell

Structure (CIF):
```
data_Ba2HgHF6
_cell_length_a 7.531
_cell_length_b 4.800
_cell_length_c 7.055
_cell_angle_alpha 65.54
_cell_angle_beta 61.64
_cell_angle_gamma 78.29
_space_group_name_H-M_alt 'P 1'
_space_group_IT_number 1
loop_
_space_group_symop_operation_xyz
'x,y,z'
loop_
_atom_site_label
_atom_site_fract_x
_atom_site_fract_y
_atom_site_fract_z
_atom_site_occupancy
Ba1 0.687 0.135 0.603 1
Ba2 0.313 0.865 0.397 1
Hg1 0.000 0.000 0.000 1
H1 0.500 0.500 0.000 1
F1 0.350 0.267 0.544 1
F2 0.958 0.812 0.755 1
F3 0.427 0.730 0.012 1
F4 0.573 0.270 0.988 1
F5 0.042 0.188 0.245 1
F6 0.650 0.733 0.456 1
```



No. 7
## Y4BeIr (PBE-GGA)

Data for a relaxed Y4BeIr crystal.

Summary:
SG	F-43m (216)
formation energy	84.3	kJ/mol of atoms
DOS(E_F)	9.0	states/eV/cell

Structure (CIF):
```
data_Y4BeIr
_cell_length_a 5.947
_cell_length_b 5.947
_cell_length_c 5.947
_cell_angle_alpha 60.00
_cell_angle_beta 60.00
_cell_angle_gamma 60.00
_space_group_name_H-M_alt 'P 1'
_space_group_IT_number 1
loop_
_space_group_symop_operation_xyz
'x,y,z'
loop_
_atom_site_label
_atom_site_fract_x
_atom_site_fract_y
_atom_site_fract_z
_atom_site_occupancy
Y1 0.879 0.374 0.374 1
Y2 0.374 0.374 0.879 1
Y3 0.374 0.879 0.374 1
Y4 0.374 0.374 0.374 1
Be1 0.750 0.750 0.750 1
Ir1 0.000 0.000 0.000 1
```



No. 8
## PmYBePt (PBE-GGA)

Data for a relaxed PmYBePt crystal.

Summary:
SG	F-43m (216)
formation energy	-45.8	kJ/mol of atoms
DOS(E_F)	3.1	states/eV/cell

Structure (CIF):
```
data_PmYBePt
_cell_length_a 4.980
_cell_length_b 4.980
_cell_length_c 4.980
_cell_angle_alpha 60.00
_cell_angle_beta 60.00
_cell_angle_gamma 60.00
_space_group_name_H-M_alt 'P 1'
_space_group_IT_number 1
loop_
_space_group_symop_operation_xyz
'x,y,z'
loop_
_atom_site_label
_atom_site_fract_x
_atom_site_fract_y
_atom_site_fract_z
_atom_site_occupancy
Y1 0.500 0.500 0.500 1
Be1 0.250 0.250 0.250 1
Pt1 0.750 0.750 0.750 1
Pm1 0.000 0.000 0.000 1
```